# AcGdGa2, optimized geometry, DFT PBE-GGA
data_AcGdGa2
_cell_length_a 7.5563
_cell_length_b 7.5563
_cell_length_c 7.5563
_cell_angle_alpha 90.00
_cell_angle_beta 90.00
_cell_angle_gamma 90.00
_symmetry_space_group_name_H-M 'F m -3 m'
_symmetry_Int_Tables_number 225
_symmetry_space_group_name_Hall '-F 4 2 3'
loop_
_atom_site_label
_atom_site_fract_x
_atom_site_fract_y
_atom_site_fract_z
Ac1 0.0000 0.0000 0.0000
Gd1 0.0000 0.0000 0.5000
Ga1 0.2500 0.2500 0.2500
# Calculated density, Mg/m³: 8.062
# Total magnetization, μB per atom: 1.79
# V, Å³ per cell: 431
# Uncorrected energy, eV per atom: -6.54
# DOS(E_F), states/eV per cell: 9.2
# Formation energy, eV per atom: -0.479
# Energy relative to the lowest polymorph listed for this composition, meV per atom: 25.9



# La2TbSi2, optimized geometry, DFT PBE-GGA
data_La2TbSi2
_cell_length_a 7.7147
_cell_length_b 7.7147
_cell_length_c 4.5099
_cell_angle_alpha 90.00
_cell_angle_beta 90.00
_cell_angle_gamma 90.00
_symmetry_space_group_name_H-M 'P 4/m b m'
_symmetry_Int_Tables_number 127
_symmetry_space_group_name_Hall '-P 4 2ab'
loop_
_atom_site_label
_atom_site_fract_x
_atom_site_fract_y
_atom_site_fract_z
La1 0.1776 0.3224 0.0000
Tb1 0.0000 0.0000 0.5000
Si1 0.1128 0.6128 0.5000
# Calculated density, Mg/m³: 6.099
# Total magnetization, μB per atom: 0.00
# V, Å³ per cell: 268
# Uncorrected energy, eV per atom: -5.75
# DOS(E_F), states/eV per cell: 8.8
# Energy relative to the lowest polymorph listed for this composition, meV per atom: 0.0



# Th2MnAg, optimized geometry, DFT PBE-GGA
data_Th2MnAg
_cell_length_a 3.9139
_cell_length_b 3.9139
_cell_length_c 23.1681
_cell_angle_alpha 90.00
_cell_angle_beta 90.00
_cell_angle_gamma 120.00
_symmetry_space_group_name_H-M 'R -3 m'
_symmetry_Int_Tables_number 166
_symmetry_space_group_name_Hall '-R 3 2"'
loop_
_atom_site_label
_atom_site_fract_x
_atom_site_fract_y
_atom_site_fract_z
Th1 0.0000 0.0000 0.2317
Mn1 0.0000 0.0000 0.5000
Ag1 0.0000 0.0000 0.0000
# Calculated density, Mg/m³: 10.161
# Total magnetization, μB per atom: 0.00
# V, Å³ per cell: 307
# Uncorrected energy, eV per atom: -6.55
# DOS(E_F), states/eV per cell: 9.3
# Formation energy, eV per atom: 0.161
# Energy relative to the lowest polymorph listed for this composition, meV per atom: 77.8



# BaMgSc2, optimized geometry, DFT PBE-GGA
data_BaMgSc2
_cell_length_a 5.4616
_cell_length_b 5.4616
_cell_length_c 3.9368
_cell_angle_alpha 90.00
_cell_angle_beta 90.00
_cell_angle_gamma 90.00
_symmetry_space_group_name_H-M 'P 4/m m m'
_symmetry_Int_Tables_number 123
_symmetry_space_group_name_Hall '-P 4 2'
loop_
_atom_site_label
_atom_site_fract_x
_atom_site_fract_y
_atom_site_fract_z
Ba1 0.0000 0.0000 0.0000
Mg1 0.5000 0.5000 0.0000
Sc1 0.0000 0.5000 0.5000
# Calculated density, Mg/m³: 3.557
# Total magnetization, μB per atom: 0.00
# V, Å³ per cell: 117
# Uncorrected energy, eV per atom: -3.65
# DOS(E_F), states/eV per cell: 7.2
# Formation energy, eV per atom: 0.390



# La4Hg5Ru2, optimized geometry, DFT PBE-GGA
data_La4Hg5Ru2
_cell_length_a 7.8727
_cell_length_b 3.8655
_cell_length_c 9.7583
_cell_angle_alpha 90.00
_cell_angle_beta 95.10
_cell_angle_gamma 90.00
_symmetry_space_group_name_H-M 'P 1 2/m 1'
_symmetry_Int_Tables_number 10
_symmetry_space_group_name_Hall '-P 2y'
loop_
_atom_site_label
_atom_site_fract_x
_atom_site_fract_y
_atom_site_fract_z
La1 0.1786 0.0000 0.3408
La2 0.2131 0.0000 0.9393
Hg1 0.1726 0.5000 0.6437
Hg2 0.4543 0.5000 0.1680
Hg3 0.5000 0.5000 0.5000
Ru1 0.0793 0.5000 0.1467
# Calculated density, Mg/m³: 9.884
# Total magnetization, μB per atom: 0.00
# V, Å³ per cell: 296
# Uncorrected energy, eV per atom: -4.02
# DOS(E_F), states/eV per cell: 7.9
# Formation energy, eV per atom: -0.403



Q: Look up the uncorrected energy of the fourth one.
A: -3.65 eV per atom



Q: Among the records above, which one has the lowest uncorrected energy?
A: Th2MnAg



Q: DOS(E_F) of number 5 (La4Hg5Ru2)?
A: 7.9 states/eV per cell